(1)
A plane-wave DFT calculation with PBE was carried out for a relaxed Dy3GeI7 crystal.

Values from the calculation:
Symmetry ... No. 156
Calculated total energy ... -3.72 eV per atom
Calculated volume ... 490 Å³ per cell

Cell lengths 7.4270, 8.7320, 8.7320 Å; angles 120.00, 90.00, 90.00 degrees
Last column: nearest neighbours and their distance in Å.
Element x y z (fractional)
1 I 0.0211 0.6667 0.3333  3 Dy 3.17
2 I 0.0192 0.6590 0.8295  2 Dy 3.05
3 I 0.5482 0.8308 0.6617  2 Dy 3.05
4 I 0.0192 0.1705 0.3410  2 Dy 3.05
5 Ge 0.5655 0.3333 0.6667  3 Dy 2.90
6 I 0.5482 0.8308 0.1692  2 Dy 3.05
7 Dy 0.7755 0.4952 0.5048  1 Ge 2.90, 5 I 3.05-3.17
8 Dy 0.7755 0.4952 0.9904  1 Ge 2.90, 5 I 3.05-3.17
9 I 0.0192 0.1705 0.8295  2 Dy 3.05
10 Dy 0.7755 0.0096 0.5048  1 Ge 2.90, 5 I 3.05-3.17
11 I 0.5482 0.3383 0.1692  2 Dy 3.05

(2)
A plane-wave DFT calculation with PBE was carried out for a relaxed Dy2GeI crystal.

Values from the calculation:
Symmetry ... No. 160
Calculated total energy ... -4.77 eV per atom
Calculated volume ... 115 Å³ per cell

Cell lengths 4.1946, 4.1946, 7.9377 Å; angles 74.68, 74.68, 60.00 degrees
Last column: nearest neighbours and their distance in Å.
Element x y z (fractional)
1 Ge 0.6684 0.6684 0.9949  6 Dy 2.81-2.85
2 Dy 0.2684 0.2684 0.1949  3 Ge 2.85
3 I 0.4986 0.4986 0.5043  6 Dy 3.33-3.37
4 Dy 0.0647 0.0647 0.8060  3 Ge 2.81

(3)
A plane-wave DFT calculation with PBE was carried out for a relaxed Dy4Ge2I5 crystal.

Values from the calculation:
Symmetry ... No. 71
Calculated total energy ... -4.13 eV per atom
Calculated volume ... 361 Å³ per cell

Cell lengths 4.2121, 8.4490, 11.1770 Å; angles 112.21, 100.86, 90.00 degrees
Last column: nearest neighbours and their distance in Å.
Element x y z (fractional)
1 I 0.8296 0.6028 0.6592  4 Dy 3.15-3.50
2 Dy 0.6901 0.6901 0.3802  1 Ge 2.66
3 Dy 0.3099 0.3099 0.6198  1 Ge 2.66
4 I 0.8296 0.0564 0.6592  4 Dy 3.15-3.50
5 Ge 0.5586 0.5586 0.1172  1 Ge 2.38
6 I 0.1704 0.9436 0.3408  4 Dy 3.15-3.50
7 Ge 0.4414 0.4414 0.8828  1 Ge 2.38
8 Dy 0.0000 0.2948 0.0000  4 Ge 2.98, 2 I 3.26
9 I 0.5000 0.0000 0.0000  4 Dy 3.26
10 I 0.1704 0.3972 0.3408  4 Dy 3.15-3.50
11 Dy 0.0000 0.7052 0.0000  4 Ge 2.98, 2 I 3.26